No. 1
The following is a DFT calculation (PBE) of BeAs after structural relaxation.

Output
**Energy of formation from the pure elements**: 0.3532 eV per atom
**ΔE to the lowest computed polymorph**: 0.351 eV/atom

a = 3.572 Å, b = 2.803 Å, c = 6.178 Å
α = 90.00°, β = 90.00°, γ = 90.00°
Space group Pmma (No. 51)
Unique sites:
1 Be 0.250 0.000 0.116 [2 per cell]
2 As 0.250 0.500 0.736 [2 per cell]



No. 2
The following is a DFT calculation (PBE) of BeAs after structural relaxation.

Output
**Energy of formation from the pure elements**: 0.1540 eV per atom
**ΔE to the lowest computed polymorph**: 0.151 eV/atom

a = 8.3299 Å, b = 8.3299 Å, c = 3.8339 Å
α = 90.00°, β = 90.00°, γ = 120.00°
Space group P6_3/m (No. 176)
Unique sites:
1 Be 0.1509 0.4576 0.2500 [6 per cell]
2 As 0.0081 0.6459 0.2500 [6 per cell]



No. 3
The following is a DFT calculation (PBE) of Be2As after structural relaxation.

Output
**Energy of formation from the pure elements**: 0.1068 eV per atom
**ΔE to the lowest computed polymorph**: 0.000 eV/atom

a = 2.636 Å, b = 18.276 Å, c = 3.598 Å
α = 90.00°, β = 90.00°, γ = 90.00°
Space group Cmcm (No. 63)
Unique sites:
1 Be 0.000 0.034 0.250 [4 per cell]
2 Be 0.000 0.434 0.250 [4 per cell]
3 As 0.000 0.352 0.750 [4 per cell]



No. 4
The following is a DFT calculation (PBE) of BeAs after structural relaxation.

Output
**Energy of formation from the pure elements**: 0.3039 eV per atom
**ΔE to the lowest computed polymorph**: 0.301 eV/atom

a = 3.417 Å, b = 9.138 Å, c = 3.551 Å
α = 90.00°, β = 90.00°, γ = 90.00°
Space group Cmcm (No. 63)
Unique sites:
1 Be 0.000 0.086 0.250 [4 per cell]
2 As 0.000 0.360 0.250 [4 per cell]



No. 5
The following is a DFT calculation (PBE) of BeAs after structural relaxation.

Output
**Energy of formation from the pure elements**: 0.2030 eV per atom
**ΔE to the lowest computed polymorph**: 0.200 eV/atom

a = 3.4178 Å, b = 3.4178 Å, c = 8.3489 Å
α = 90.00°, β = 90.00°, γ = 120.00°
Space group R-3m (No. 166, hexagonal axes)
Unique sites:
1 Be 0.0000 0.0000 0.0000 [3 per cell]
2 As 0.0000 0.0000 0.5000 [3 per cell]



No. 6
The following is a DFT calculation (PBE) of BeAs2 after structural relaxation.

Output
**Energy of formation from the pure elements**: 0.3952 eV per atom
**ΔE to the lowest computed polymorph**: 0.332 eV/atom

a = 6.046 Å, b = 6.046 Å, c = 5.126 Å
α = 90.00°, β = 90.00°, γ = 90.00°
Space group I4/mcm (No. 140)
Unique sites:
1 Be 0.000 0.000 0.250 [4 per cell]
2 As 0.149 0.351 0.000 [8 per cell]



No. 7
The following is a DFT calculation (PBE) of Be3As2 after structural relaxation.

Output
**Energy of formation from the pure elements**: 0.0565 eV per atom
**ΔE to the lowest computed polymorph**: 0.008 eV/atom

a = 5.7878 Å, b = 5.7878 Å, c = 14.4807 Å
α = 90.00°, β = 90.00°, γ = 120.00°
Space group R-3c (No. 167, hexagonal axes)
Unique sites:
1 Be 0.0000 0.2406 0.2500 [18 per cell]
2 As 0.0000 0.0000 0.1112 [12 per cell]



No. 8
The following is a DFT calculation (PBE) of BeAs2 after structural relaxation.

Output
**Energy of formation from the pure elements**: 0.9495 eV per atom
**ΔE to the lowest computed polymorph**: 0.886 eV/atom

a = 7.675 Å, b = 7.675 Å, c = 7.675 Å
α = 90.00°, β = 90.00°, γ = 90.00°
Space group Fd-3m (No. 227, origin choice 2)
Unique sites:
1 Be 0.125 0.125 0.125 [8 per cell]
2 As 0.000 0.000 0.500 [16 per cell]



No. 9
The following is a DFT calculation (PBE) of Be2As after structural relaxation.

Output
**Energy of formation from the pure elements**: 0.1488 eV per atom
**ΔE to the lowest computed polymorph**: 0.042 eV/atom

a = 9.795 Å, b = 3.435 Å, c = 5.059 Å
α = 90.00°, β = 111.19°, γ = 90.00°
Space group C2/m (No. 12)
Unique sites:
1 Be 0.047 0.000 0.227 [4 per cell]
2 Be 0.106 0.500 0.960 [4 per cell]
3 As 0.170 0.000 0.695 [4 per cell]



No. 10
The following is a DFT calculation (PBE) of BeAs after structural relaxation.

Output
**Energy of formation from the pure elements**: 0.0588 eV per atom
**ΔE to the lowest computed polymorph**: 0.056 eV/atom

a = 7.098 Å, b = 3.369 Å, c = 5.547 Å
α = 90.00°, β = 108.32°, γ = 90.00°
Space group C2/m (No. 12)
Unique sites:
1 Be 0.114 0.000 0.414 [4 per cell]
2 As 0.136 0.500 0.754 [4 per cell]



No. 11
The following is a DFT calculation (PBE) of BeAs after structural relaxation.

Output
**Energy of formation from the pure elements**: 0.0039 eV per atom
**ΔE to the lowest computed polymorph**: 0.001 eV/atom

a = 3.892 Å, b = 6.743 Å, c = 4.865 Å
α = 90.00°, β = 90.00°, γ = 90.00°
Space group Cmcm (No. 63)
Unique sites:
1 Be 0.000 0.095 0.250 [4 per cell]
2 As 0.000 0.237 0.750 [4 per cell]



No. 12
The following is a DFT calculation (PBE) of BeAs after structural relaxation.

Output
**Energy of formation from the pure elements**: 0.4429 eV per atom
**ΔE to the lowest computed polymorph**: 0.440 eV/atom

a = 2.8300 Å, b = 2.8300 Å, c = 8.8315 Å
α = 90.00°, β = 90.00°, γ = 120.00°
Space group P-3m1 (No. 164)
Unique sites:
1 Be 0.3333 0.6667 0.0950 [2 per cell]
2 As 0.3333 0.6667 0.6933 [2 per cell]



No. 13
The following is a DFT calculation (PBE) of Be3As after structural relaxation.

Output
**Energy of formation from the pure elements**: 0.4043 eV per atom
**ΔE to the lowest computed polymorph**: 0.121 eV/atom

a = 3.424 Å, b = 3.424 Å, c = 3.911 Å
α = 90.00°, β = 90.00°, γ = 90.00°
Space group P4mm (No. 99)
Unique sites:
1 Be 0.000 0.000 0.000 [1 per cell]
2 Be 0.000 0.500 0.599 [2 per cell]
3 As 0.500 0.500 0.186 [1 per cell]



No. 14
The following is a DFT calculation (PBE) of BeAs2 after structural relaxation.

Output
**Energy of formation from the pure elements**: 0.2575 eV per atom
**ΔE to the lowest computed polymorph**: 0.194 eV/atom

a = 5.914 Å, b = 5.914 Å, c = 5.914 Å
α = 90.00°, β = 90.00°, γ = 90.00°
Space group Fm-3m (No. 225)
Unique sites:
1 Be 0.000 0.000 0.000 [4 per cell]
2 As 0.250 0.250 0.250 [8 per cell]



No. 15
The following is a DFT calculation (PBE) of Be2As3 after structural relaxation.

Output
**Energy of formation from the pure elements**: 0.1396 eV per atom
**ΔE to the lowest computed polymorph**: 0.000 eV/atom

a = 10.817 Å, b = 12.170 Å, c = 6.893 Å
α = 90.00°, β = 90.00°, γ = 90.00°
Space group Fdd2 (No. 43)
Unique sites:
1 Be 0.047 0.169 0.000 [16 per cell]
2 As 0.000 0.000 0.202 [8 per cell]
3 As 0.066 0.284 0.246 [16 per cell]



No. 16
The following is a DFT calculation (PBE) of Be3As after structural relaxation.

Output
**Energy of formation from the pure elements**: 0.3450 eV per atom
**ΔE to the lowest computed polymorph**: 0.062 eV/atom

a = 2.486 Å, b = 3.650 Å, c = 5.244 Å
α = 90.00°, β = 101.26°, γ = 90.00°
Space group P2/m (No. 10)
Unique sites:
1 Be 0.000 0.000 0.000 [1 per cell]
2 Be 0.212 0.500 0.827 [2 per cell]
3 As 0.000 0.000 0.500 [1 per cell]



No. 17
The following is a DFT calculation (PBE) of BeAs3 after structural relaxation.

Output
**Energy of formation from the pure elements**: 0.2762 eV per atom
**ΔE to the lowest computed polymorph**: 0.098 eV/atom

a = 7.1962 Å, b = 7.1962 Å, c = 6.3009 Å
α = 90.00°, β = 90.00°, γ = 120.00°
Space group P6_3/mmc (No. 194)
Unique sites:
1 Be 0.0000 0.0000 0.0000 [2 per cell]
2 Be 0.3333 0.6667 0.2500 [2 per cell]
3 As 0.0000 0.5000 0.0000 [6 per cell]
4 As 0.1503 0.3007 0.7500 [6 per cell]



No. 18
The following is a DFT calculation (PBE) of Be2As3 after structural relaxation.

Output
**Energy of formation from the pure elements**: 0.2175 eV per atom
**ΔE to the lowest computed polymorph**: 0.078 eV/atom

a = 3.6003 Å, b = 3.6003 Å, c = 21.3735 Å
α = 90.00°, β = 90.00°, γ = 120.00°
Space group R-3m (No. 166, hexagonal axes)
Unique sites:
1 Be 0.0000 0.0000 0.1174 [6 per cell]
2 As 0.0000 0.0000 0.2975 [6 per cell]
3 As 0.0000 0.0000 0.5000 [3 per cell]



No. 19
The following is a DFT calculation (PBE) of Be2As after structural relaxation.

Output
**Energy of formation from the pure elements**: 0.5265 eV per atom
**ΔE to the lowest computed polymorph**: 0.420 eV/atom

a = 2.692 Å, b = 2.692 Å, c = 10.375 Å
α = 90.00°, β = 90.00°, γ = 90.00°
Space group I4/mmm (No. 139)
Unique sites:
1 Be 0.000 0.000 0.192 [4 per cell]
2 As 0.000 0.000 0.500 [2 per cell]



No. 20
The following is a DFT calculation (PBE) of BeAs3 after structural relaxation.

Output
**Energy of formation from the pure elements**: 0.4049 eV per atom
**ΔE to the lowest computed polymorph**: 0.227 eV/atom

a = 3.665 Å, b = 4.598 Å, c = 8.211 Å
α = 90.00°, β = 90.00°, γ = 90.00°
Space group Cmmm (No. 65)
Unique sites:
1 Be 0.000 0.000 0.000 [2 per cell]
2 As 0.000 0.000 0.500 [2 per cell]
3 As 0.000 0.500 0.182 [4 per cell]



| no. | uncorrected energy (eV/atom) |
| --- | --- |
| 1 | -3.835 |
| 2 | -4.034 |
| 3 | -3.927 |
| 4 | -3.884 |
| 5 | -3.985 |
| 6 | -3.947 |
| 7 | -4.039 |
| 8 | -3.392 |
| 9 | -3.885 |
| 10 | -4.129 |
| 11 | -4.184 |
| 12 | -3.745 |
| 13 | -3.553 |
| 14 | -4.084 |
| 15 | -4.141 |
| 16 | -3.612 |
| 17 | -4.142 |
| 18 | -4.063 |
| 19 | -3.507 |
| 20 | -4.014 |